(1)
Below is crystalline SmPdO4 at its relaxed geometry, with properties calculated at the PBE level.

## Properties
Formation energy from raw total energies in eV per atom: -1.44
Space-group type: No. 15

The structure in POSCAR format:
```
SmPdO4
1.0
-3.6396 -3.5889 -3.4418
6.5233 0.7960 -1.7597
-0.3020 -2.2362 5.1833
O Pd Sm
8 2 2
Cartesian
4.1853 -2.2262 0.8267 O
0.5544 -1.6208 -1.9656 O
0.4486 -1.1103 0.6303 O
-1.7228 -5.1559 1.1445 O
-1.6035 -2.8029 -0.8448 O
2.1333 -3.9188 -0.6484 O
4.3046 0.1268 -1.1627 O
2.0274 -3.4083 1.9474 O
5.3018 -2.3064 2.5411 Pd
-2.7200 -2.7227 -2.5593 Pd
-0.0966 -3.4889 0.9821 Sm
2.6784 -1.5402 -1.0002 Sm
```

=====

(2)
Below is crystalline CdHg2Pt2 at its relaxed geometry, with properties calculated at the PBE level.

## Properties
E above lowest polymorph in eV per atom: 0.0000
DFT formation energy in eV/atom: -0.0735
Space-group type: No. 127

The structure in POSCAR format:
```
CdHg2Pt2
1.0
7.2167 0.0000 0.0000
0.0000 7.2167 0.0000
0.0000 0.0000 3.8309
Hg Pt Cd
4 4 2
Cartesian
1.1969 4.8052 1.9154 Hg
2.4114 1.1969 1.9154 Hg
4.8052 6.0197 1.9154 Hg
6.0197 2.4114 1.9154 Hg
2.6370 6.2453 0.0000 Pt
6.2453 4.5796 0.0000 Pt
0.9713 2.6370 0.0000 Pt
4.5796 0.9713 0.0000 Pt
3.6083 3.6083 0.0000 Cd
0.0000 0.0000 0.0000 Cd
```

=====

| no. | total DFT energy (no corrections) (eV/atom) | DOS(E_F) (states/eV per atom) |
| --- | --- | --- |
| 1 | -6.3944 | 0.323 |
| 2 | -2.7936 | 0.525 |